Entry 1:
First-principles (PBE) data for a geometry-optimized NpGa2 structure, as listed in Alexandria.

Output
- DFT formation energy: -4.104 kcal/mol of atoms

abc: 7.722 7.722 7.722
angles: 90.00 90.00 90.00
Space group Fd-3m (No. 227, origin choice 2)
One atom of each set of equivalent atoms:
1 Np 0.125 0.125 0.125
2 Ga 0.000 0.000 0.500

=====

Entry 2:
First-principles (PBE) data for a geometry-optimized CrFeCo4 structure, as listed in Alexandria.

Output
- Polymorph energy (0 for the lowest one): 0.039 eV per atom
- DFT formation energy: 3.157 kcal/mol of atoms

abc: 4.004 8.417 4.017
angles: 90.00 90.00 90.00
Space group Cmmm (No. 65)
One atom of each set of equivalent atoms:
1 Cr 0.000 0.000 0.000
2 Fe 0.000 0.500 0.500
3 Co 0.000 0.163 0.500
4 Co 0.000 0.338 0.000